Tm3Cd4Hg2 | GGA-PBE | relaxed

Calculated values
Formation enthalpy at 0 K (meV per atom): -324
Space group: C2/m, No. 12
Density of states at the Fermi level (states/eV/cell): 4.63

Lattice parameters (Å, degrees): 4.944 5.982 9.168 116.90 90.00 114.41
Fractional coordinates of all 9 atoms:
Hg 0.390 0.780 0.724
Tm 0.000 0.000 0.000
Cd 0.725 0.450 0.055
Hg 0.610 0.220 0.276
Tm 0.669 0.338 0.664
Tm 0.331 0.662 0.336
Cd 0.949 0.899 0.615
Cd 0.051 0.101 0.385
Cd 0.275 0.550 0.945



Mo2C | GGA-PBE | relaxed

Calculated values
Formation enthalpy at 0 K (meV per atom): 992
Space group: I4_1/amd, No. 141
Density of states at the Fermi level (states/eV/cell): 6.81

Lattice parameters (Å, degrees): 13.192 13.192 13.192 164.82 164.82 21.53
Fractional coordinates of all 12 atoms:
Mo 0.582 0.582 0.000
Mo 0.498 0.998 0.500
C 0.938 0.938 0.000
C 0.062 0.062 0.000
Mo 0.832 0.332 0.500
Mo 0.668 0.168 0.500
Mo 0.418 0.418 0.000
Mo 0.248 0.248 0.000
C 0.312 0.812 0.500
C 0.188 0.688 0.500
Mo 0.752 0.752 0.000
Mo 0.002 0.502 0.500